The following is a DFT calculation (PBE with a Hubbard U) of a relaxed structure of Co3O8.

Properties
Electronic total energy   -5.45 eV/atom
ρ   4.8 g/cm3

a = 6.7209 Å, b = 6.7209 Å, c = 8.0601 Å
α = 90.00°, β = 90.00°, γ = 120.00°
Space group R-3 (No. 148, hexagonal axes)
Inequivalent atoms, fractional coordinates:
1 Co 0.0000 0.5000 0.0000 x9
2 O 0.0000 0.0000 0.4094 x6
3 O 0.0417 0.4255 0.5216 x18